Entry 1:
PmDyPdRu | PBE-GGA | optimized geometry

Values from the calculation:
Formation energy from the elements = -593 meV/atom
ΔE to the lowest computed polymorph = 0.000 eV per atom
SG = No. 99

Cell: 3.4621 3.4621 7.1491 Å, 90.00 90.00 90.00°
Element x y z (fractional)
Pm1 0.0000 0.0000 0.0000
Dy1 0.0000 0.0000 0.4784
Pd1 0.5000 0.5000 0.7228
Ru1 0.5000 0.5000 0.2468

Entry 2:
PmDyPdRu | PBE-GGA | optimized geometry

Values from the calculation:
Formation energy from the elements = -552 meV/atom
ΔE to the lowest computed polymorph = 0.041 eV per atom
SG = No. 216

Cell: 4.9432 4.9432 4.9432 Å, 60.00 60.00 60.00°
Element x y z (fractional)
Pm1 0.0000 0.0000 0.0000
Dy1 0.5000 0.5000 0.5000
Pd1 0.2500 0.2500 0.2500
Ru1 0.7500 0.7500 0.7500

Entry 3:
PmDySbPd | PBE-GGA | optimized geometry

Values from the calculation:
SG = No. 216
Formation energy (no corrections) = -0.778 eV per atom

Cell: 5.2136 5.2136 5.2136 Å, 60.00 60.00 60.00°
Element x y z (fractional)
Pm1 0.0000 0.0000 0.0000
Dy1 0.5000 0.5000 0.5000
Sb1 0.7500 0.7500 0.7500
Pd1 0.2500 0.2500 0.2500

Entry 4:
PmDyScPd | PBE-GGA | optimized geometry

Values from the calculation:
Formation energy from the elements = -153 meV/atom
SG = No. 216

Cell: 5.2106 5.2106 5.2106 Å, 60.00 60.00 60.00°
Element x y z (fractional)
Pm1 0.0000 0.0000 0.0000
Dy1 0.5000 0.5000 0.5000
Sc1 0.2500 0.2500 0.2500
Pd1 0.7500 0.7500 0.7500

Entry 5:
PmDySnPd | PBE-GGA | optimized geometry

Values from the calculation:
Formation energy from the elements = -714 meV/atom
SG = No. 216

Cell: 5.2261 5.2261 5.2261 Å, 60.00 60.00 60.00°
Element x y z (fractional)
Pm1 0.0000 0.0000 0.0000
Dy1 0.5000 0.5000 0.5000
Sn1 0.2500 0.2500 0.2500
Pd1 0.7500 0.7500 0.7500

Entry 6:
PmDyTcPd | PBE-GGA | optimized geometry

Values from the calculation:
Formation energy from the elements = -286 meV/atom
SG = No. 216

Cell: 4.9450 4.9450 4.9450 Å, 60.00 60.00 60.00°
Element x y z (fractional)
Pm1 0.0000 0.0000 0.0000
Dy1 0.5000 0.5000 0.5000
Tc1 0.2500 0.2500 0.2500
Pd1 0.7500 0.7500 0.7500

Entry 7:
PmDyTlPd | PBE-GGA | optimized geometry

Values from the calculation:
Formation energy from the elements = -515 meV/atom
SG = No. 216

Cell: 5.2438 5.2438 5.2438 Å, 60.00 60.00 60.00°
Element x y z (fractional)
Pm1 0.0000 0.0000 0.0000
Dy1 0.5000 0.5000 0.5000
Tl1 0.7500 0.7500 0.7500
Pd1 0.2500 0.2500 0.2500

Entry 8:
Pr2DyPd9 | PBE-GGA | optimized geometry

Values from the calculation:
Formation energy from the elements = -781 meV/atom
SG = No. 123

Cell: 4.1973 4.1973 12.5289 Å, 90.00 90.00 90.00°
Element x y z (fractional)
Pr1 0.0000 0.0000 0.1705
Pr2 0.0000 0.0000 0.8295
Dy1 0.0000 0.0000 0.5000
Pd1 0.0000 0.5000 0.0000
Pd2 0.0000 0.5000 0.3396
Pd3 0.0000 0.5000 0.6604
Pd4 0.5000 0.0000 0.0000
Pd5 0.5000 0.0000 0.3396
Pd6 0.5000 0.0000 0.6604
Pd7 0.5000 0.5000 0.1685
Pd8 0.5000 0.5000 0.5000
Pd9 0.5000 0.5000 0.8315

Entry 9:
PrDyPd2 | PBE-GGA | optimized geometry

Values from the calculation:
Formation energy from the elements = -842 meV/atom
ΔE to the lowest computed polymorph = 0.000 eV per atom
SG = No. 38

Cell: 4.6099 5.7099 5.7099 Å, 39.32 90.00 90.00°
Element x y z (fractional)
Pr1 0.0000 0.0000 0.0000
Dy1 0.5000 0.2738 0.2738
Pd1 0.0000 0.7259 0.7259
Pd2 0.5000 0.5551 0.5551

Entry 10:
Pr2Dy2Pd15 | PBE-GGA | optimized geometry

Values from the calculation:
Formation energy from the elements = -574 meV/atom
SG = No. 166

Cell: 7.1426 7.1426 7.1426 Å, 80.97 80.97 80.97°
Element x y z (fractional)
Pr1 0.1403 0.1403 0.1403
Pr2 0.8597 0.8597 0.8597
Dy1 0.3918 0.3918 0.3918
Dy2 0.6082 0.6082 0.6082
Pd1 0.0000 0.5000 0.5000
Pd2 0.1506 0.1506 0.6584
Pd3 0.1506 0.6584 0.1506
Pd4 0.1950 0.5000 0.8050
Pd5 0.1950 0.8050 0.5000
Pd6 0.3416 0.8494 0.8494
Pd7 0.5000 0.0000 0.5000
Pd8 0.5000 0.1950 0.8050
Pd9 0.5000 0.5000 0.0000
Pd10 0.5000 0.8050 0.1950
Pd11 0.6584 0.1506 0.1506
Pd12 0.8050 0.1950 0.5000
Pd13 0.8050 0.5000 0.1950
Pd14 0.8494 0.3416 0.8494
Pd15 0.8494 0.8494 0.3416

Entry 11:
PrDyPd | PBE-GGA | optimized geometry

Values from the calculation:
Formation energy from the elements = -381 meV/atom
ΔE to the lowest computed polymorph = 0.173 eV per atom
SG = No. 156

Cell: 4.8037 4.8037 4.0516 Å, 90.00 90.00 120.00°
Element x y z (fractional)
Pr1 0.0000 0.0000 0.0000
Dy1 0.3333 0.6667 0.4720
Pd1 0.6667 0.3333 0.6376

Entry 12:
PrDyPd2 | PBE-GGA | optimized geometry

Values from the calculation:
Formation energy from the elements = -781 meV/atom
ΔE to the lowest computed polymorph = 0.061 eV per atom
SG = No. 225

Cell: 5.0700 5.0700 5.0700 Å, 60.00 60.00 60.00°
Element x y z (fractional)
Pr1 0.0000 0.0000 0.0000
Dy1 0.5000 0.5000 0.5000
Pd1 0.2500 0.2500 0.2500
Pd2 0.7500 0.7500 0.7500